# GGA-PBE AcZrBi3, optimized geometry
# - total energy (hartree per atom) = -0.185
# - energy above the lowest structure with this stoichiometry (kJ per mole of atoms) = 36.3
data_AcZrBi3
_cell_length_a 5.683
_cell_length_b 5.683
_cell_length_c 5.683
_cell_angle_alpha 90.00
_cell_angle_beta 90.00
_cell_angle_gamma 90.00
_space_group_name_H-M_alt 'P m -3 m'
_space_group_IT_number 221
_space_group_name_Hall '-P 4 2 3'
loop_
_atom_site_label
_atom_site_type_symbol
_atom_site_fract_x
_atom_site_fract_y
_atom_site_fract_z
Ac1 Ac 0.000 0.000 0.000
Zr1 Zr 0.500 0.500 0.500
Bi1 Bi 0.000 0.500 0.500

***

# GGA-PBE Ac2ZrBi5, optimized geometry
# - total energy (hartree per atom) = -0.180
data_Ac2ZrBi5
_cell_length_a 8.605
_cell_length_b 11.342
_cell_length_c 7.029
_cell_angle_alpha 90.00
_cell_angle_beta 127.26
_cell_angle_gamma 90.00
_space_group_name_H-M_alt 'C 1 m 1'
_space_group_IT_number 8
loop_
_space_group_symop_operation_xyz
'x,y,z'
'x,-y,z'
'x+1/2,y+1/2,z'
'x+1/2,-y+1/2,z'
loop_
_atom_site_label
_atom_site_type_symbol
_atom_site_fract_x
_atom_site_fract_y
_atom_site_fract_z
Ac1 Ac 0.000 0.249 0.000
Zr1 Zr 0.409 0.500 0.496
Bi1 Bi 0.007 0.260 0.500
Bi2 Bi 0.246 0.500 0.972
Bi3 Bi 0.261 0.000 0.499
Bi4 Bi 0.271 0.000 0.022

***

# GGA-PBE AcZrBi3, optimized geometry
# - total energy (hartree per atom) = -0.199
# - energy above the lowest structure with this stoichiometry (kJ per mole of atoms) = 0.0
data_AcZrBi3
_cell_length_a 14.422
_cell_length_b 6.779
_cell_length_c 6.670
_cell_angle_alpha 90.00
_cell_angle_beta 90.00
_cell_angle_gamma 90.00
_space_group_name_H-M_alt 'P b c m'
_space_group_IT_number 57
loop_
_space_group_symop_operation_xyz
'x,y,z'
'-x,-y,-z'
'-x,-y,z+1/2'
'x,y,-z+1/2'
'x,-y+1/2,-z'
'-x,y+1/2,z'
'-x,y+1/2,-z+1/2'
'x,-y+1/2,z+1/2'
loop_
_atom_site_label
_atom_site_type_symbol
_atom_site_fract_x
_atom_site_fract_y
_atom_site_fract_z
Ac1 Ac 0.185 0.010 0.250
Zr1 Zr 0.412 0.750 0.000
Bi1 Bi 0.003 0.750 0.000
Bi2 Bi 0.272 0.512 0.250
Bi3 Bi 0.425 0.116 0.250

***

# GGA-PBE Ac2ZrBi, optimized geometry
# - total energy (hartree per atom) = -0.194
# - energy above the lowest structure with this stoichiometry (kJ per mole of atoms) = 0.0
data_Ac2ZrBi
_cell_length_a 5.238
_cell_length_b 5.238
_cell_length_c 4.833
_cell_angle_alpha 90.00
_cell_angle_beta 90.00
_cell_angle_gamma 90.00
_space_group_name_H-M_alt 'P 4/m m m'
_space_group_IT_number 123
_space_group_name_Hall '-P 4 2'
loop_
_atom_site_label
_atom_site_type_symbol
_atom_site_fract_x
_atom_site_fract_y
_atom_site_fract_z
Ac1 Ac 0.000 0.500 0.000
Zr1 Zr 0.000 0.000 0.500
Bi1 Bi 0.500 0.500 0.500

***

# GGA-PBE AcZrBi, optimized geometry
# - total energy (hartree per atom) = -0.207
# - energy above the lowest structure with this stoichiometry (kJ per mole of atoms) = 11.6
data_AcZrBi
_cell_length_a 4.643
_cell_length_b 4.643
_cell_length_c 9.903
_cell_angle_alpha 90.00
_cell_angle_beta 90.00
_cell_angle_gamma 90.00
_space_group_name_H-M_alt 'P 4/n m m'
_space_group_IT_number 129
loop_
_space_group_symop_operation_xyz
'x,y,z'
'-x,-y,-z'
'-y+1/2,x,z'
'y+1/2,-x,-z'
'-x+1/2,-y+1/2,z'
'x+1/2,y+1/2,-z'
'y,-x+1/2,z'
'-y,x+1/2,-z'
'x+1/2,-y,-z'
'-x+1/2,y,z'
'-y,-x,-z'
'y,x,z'
'-x,y+1/2,-z'
'x,-y+1/2,z'
'y+1/2,x+1/2,-z'
'-y+1/2,-x+1/2,z'
loop_
_atom_site_label
_atom_site_type_symbol
_atom_site_fract_x
_atom_site_fract_y
_atom_site_fract_z
Ac1 Ac 0.250 0.250 0.201
Zr1 Zr 0.250 0.250 0.555
Bi1 Bi 0.250 0.250 0.855

***

# GGA-PBE Ac2ZrBi, optimized geometry
# - total energy (hartree per atom) = -0.178
# - energy above the lowest structure with this stoichiometry (kJ per mole of atoms) = 43.2
data_Ac2ZrBi
_cell_length_a 3.5869
_cell_length_b 3.5869
_cell_length_c 37.8674
_cell_angle_alpha 90.00
_cell_angle_beta 90.00
_cell_angle_gamma 120.00
_space_group_name_H-M_alt 'R -3 m'
_space_group_IT_number 166
_space_group_name_Hall '-R 3 2"'
loop_
_atom_site_label
_atom_site_type_symbol
_atom_site_fract_x
_atom_site_fract_y
_atom_site_fract_z
Ac1 Ac 0.0000 0.0000 0.0868
Zr1 Zr 0.0000 0.0000 0.0000
Bi1 Bi 0.0000 0.0000 0.5000

***

# GGA-PBE AcBr3, optimized geometry
# - total energy (hartree per atom) = -0.156
data_AcBr3
_cell_length_a 4.286
_cell_length_b 10.305
_cell_length_c 6.984
_cell_angle_alpha 90.00
_cell_angle_beta 90.00
_cell_angle_gamma 90.00
_space_group_name_H-M_alt 'I m m 2'
_space_group_IT_number 44
loop_
_space_group_symop_operation_xyz
'x,y,z'
'-x,-y,z'
'-x,y,z'
'x,-y,z'
'x+1/2,y+1/2,z+1/2'
'-x+1/2,-y+1/2,z+1/2'
'-x+1/2,y+1/2,z+1/2'
'x+1/2,-y+1/2,z+1/2'
loop_
_atom_site_label
_atom_site_type_symbol
_atom_site_fract_x
_atom_site_fract_y
_atom_site_fract_z
Ac1 Ac 0.000 0.000 0.000
Br1 Br 0.000 0.317 0.325
Br2 Br 0.000 0.500 0.809

***

# GGA-PBE AcBr3, optimized geometry
# - total energy (hartree per atom) = -0.159
data_AcBr3
_cell_length_a 4.435
_cell_length_b 9.535
_cell_length_c 7.759
_cell_angle_alpha 90.00
_cell_angle_beta 90.00
_cell_angle_gamma 90.00
_space_group_name_H-M_alt 'P m m n'
_space_group_IT_number 59
loop_
_space_group_symop_operation_xyz
'x,y,z'
'-x,-y,-z'
'-x+1/2,-y+1/2,z'
'x+1/2,y+1/2,-z'
'x+1/2,-y,-z'
'-x+1/2,y,z'
'-x,y+1/2,-z'
'x,-y+1/2,z'
loop_
_atom_site_label
_atom_site_type_symbol
_atom_site_fract_x
_atom_site_fract_y
_atom_site_fract_z
Ac1 Ac 0.250 0.250 0.018
Br1 Br 0.250 0.566 0.177
Br2 Br 0.250 0.750 0.712

***

# GGA-PBE AcBr4, optimized geometry
# - total energy (hartree per atom) = -0.128
data_AcBr4
_cell_length_a 6.062
_cell_length_b 6.062
_cell_length_c 6.062
_cell_angle_alpha 90.00
_cell_angle_beta 90.00
_cell_angle_gamma 90.00
_space_group_name_H-M_alt 'P m -3 m'
_space_group_IT_number 221
_space_group_name_Hall '-P 4 2 3'
loop_
_atom_site_label
_atom_site_type_symbol
_atom_site_fract_x
_atom_site_fract_y
_atom_site_fract_z
Ac1 Ac 0.000 0.000 0.000
Br1 Br 0.000 0.000 0.500
Br2 Br 0.500 0.500 0.500

***

# GGA-PBE AcBr3, optimized geometry
# - total energy (hartree per atom) = -0.160
data_AcBr3
_cell_length_a 8.233
_cell_length_b 4.715
_cell_length_c 8.237
_cell_angle_alpha 90.00
_cell_angle_beta 119.93
_cell_angle_gamma 90.00
_space_group_name_H-M_alt 'P 1 21/m 1'
_space_group_IT_number 11
loop_
_space_group_symop_operation_xyz
'x,y,z'
'-x,-y,-z'
'-x,y+1/2,-z'
'x,-y+1/2,z'
loop_
_atom_site_label
_atom_site_type_symbol
_atom_site_fract_x
_atom_site_fract_y
_atom_site_fract_z
Ac1 Ac 0.167 0.250 0.333
Br1 Br 0.112 0.250 0.913
Br2 Br 0.198 0.750 0.611
Br3 Br 0.414 0.750 0.302

***

# GGA-PBE AcBr3, optimized geometry
# - total energy (hartree per atom) = -0.159
data_AcBr3
_cell_length_a 4.456
_cell_length_b 13.909
_cell_length_c 9.534
_cell_angle_alpha 90.00
_cell_angle_beta 90.00
_cell_angle_gamma 90.00
_space_group_name_H-M_alt 'C m c m'
_space_group_IT_number 63
_space_group_name_Hall '-C 2c 2'
loop_
_atom_site_label
_atom_site_type_symbol
_atom_site_fract_x
_atom_site_fract_y
_atom_site_fract_z
Ac1 Ac 0.000 0.242 0.250
Br1 Br 0.000 0.152 0.566
Br2 Br 0.000 0.409 0.750

***

# GGA-PBE AcBr5, optimized geometry
# - total energy (hartree per atom) = -0.124
data_AcBr5
_cell_length_a 4.827
_cell_length_b 6.076
_cell_length_c 11.059
_cell_angle_alpha 90.00
_cell_angle_beta 101.34
_cell_angle_gamma 90.00
_space_group_name_H-M_alt 'P 1 m 1'
_space_group_IT_number 6
loop_
_space_group_symop_operation_xyz
'x,y,z'
'x,-y,z'
loop_
_atom_site_label
_atom_site_type_symbol
_atom_site_fract_x
_atom_site_fract_y
_atom_site_fract_z
Ac1 Ac 0.000 0.000 0.000
Br1 Br 0.256 0.500 0.536
Br2 Br 0.420 0.000 0.823
Br3 Br 0.580 0.000 0.177
Br4 Br 0.698 0.500 0.464
Br5 Br 0.999 0.500 0.000

***

The highest total energy belongs to which entry? AcBr5

***

Which value of total energy does entry 2 give? -0.180 hartree per atom